Version a
The following is a DFT calculation (GGA-PBE) of an optimized crystal structure of YHfTe2N.

Results
Density = 6881 kg/m3
Space-group type = P4/mmm

Structure (POSCAR):
```
YHfTe2N
1.0
5.6909 0.0000 0.0000
0.0000 5.6909 0.0000
0.0000 0.0000 3.9983
Y Hf Te N
1 1 2 1
Cartesian
0.0000 0.0000 0.0000
2.8454 2.8454 1.9992
0.0000 2.8454 1.9992
2.8454 0.0000 1.9992
2.8454 2.8454 0.0000
```

Version b
The following is a DFT calculation (GGA-PBE) of an optimized crystal structure of YHfTe2N.

Results
Density = 6567 kg/m3
Space-group type = P4/mmm

Structure (POSCAR):
```
YHfTe2N
1.0
5.8236 0.0000 0.0000
0.0000 5.8236 0.0000
0.0000 0.0000 4.0007
Y Hf Te N
1 1 2 1
Cartesian
0.0000 0.0000 0.0000
2.9118 2.9118 2.0004
0.0000 2.9118 0.0000
2.9118 0.0000 0.0000
0.0000 0.0000 2.0004
```

Stability order, top to bottom: version a, version b